Entry 1:
Material: NaCuPd3
Method: DFT, PBE
State: relaxed

Total DFT energy (no corrections) in eV for the cell shown: -18.90
ΔE_f in eV/atom: 0.42
D(E_F) in states/eV per cell: 3.290
Theoretical density in g/cm³: 6.5
E above lowest polymorph in meV/atom: 0
Calculated volume in Å³ per cell: 103.2

Unit cell a=4.690 b=4.690 c=4.690 alpha=90.00 beta=90.00 gamma=90.00
Sites, in units of the cell vectors:
Na 0.000 0.000 0.000
Cu 0.500 0.500 0.500
Pd 0.000 0.500 0.500
Pd 0.500 0.000 0.500
Pd 0.500 0.500 0.000



Entry 2:
Material: Na2CuPd2
Method: DFT, PBE
State: relaxed

Total DFT energy (no corrections) in eV for the cell shown: -17.26
ΔE_f in eV/atom: -0.03
D(E_F) in states/eV per cell: 2.021
Theoretical density in g/cm³: 5.3
E above lowest polymorph in meV/atom: 0
Calculated volume in Å³ per cell: 101.6

Unit cell a=5.643 b=5.643 c=5.643 alpha=136.04 beta=123.41 gamma=74.31
Sites, in units of the cell vectors:
Na 0.202 0.202 0.000
Na 0.798 0.798 0.000
Cu 0.500 0.000 0.500
Pd 0.246 0.500 0.746
Pd 0.754 0.500 0.254



Q: What is the formula in the second record?
A: Na2CuPd2



Q: D(E_F) of number 1 (NaCuPd3)?
A: 3.290 states/eV per cell



Q: Which of these has the lowest calculated volume?
A: Na2CuPd2



Q: Among the records above, which one has the highest calculated volume?
A: NaCuPd3